Entry 1:
Material: Pm2TcAg
Method: DFT, PBE-GGA
State: relaxed

Cell: 7.2084 7.2084 7.2084 Å, 90.00 90.00 90.00°
Closest atoms and distances in Å follow each position.
Space group Fm-3m (No. 225)
Unique sites:
Pm 0.2500 0.2500 0.2500  4 Tc 3.12, 4 Ag 3.12
Tc 0.0000 0.0000 0.0000  8 Pm 3.12
Ag 0.0000 0.0000 0.5000  8 Pm 3.12

Output
The calculation puts the calculated density at 8.79 g/cm3. The calculation puts the density of states at the Fermi level at 4.2 states/eV/f.u. For the raw total energy, the calculation gives -5.685 eV/atom. The polymorph energy (0 for the lowest one) comes out at 0.085 eV/atom. As for the formation energy: -6 meV/atom.

Entry 2:
Material: PmThTcAg
Method: DFT, PBE-GGA
State: relaxed

Cell: 7.2545 7.2545 7.2545 Å, 90.00 90.00 90.00°
Closest atoms and distances in Å follow each position.
Space group F-43m (No. 216)
Unique sites:
Pm 0.0000 0.0000 0.0000  4 Ag 3.14, 4 Tc 3.14
Th 0.0000 0.0000 0.5000  4 Tc 3.14, 4 Ag 3.14
Tc 0.2500 0.2500 0.7500  4 Th 3.14, 4 Pm 3.14
Ag 0.2500 0.2500 0.2500  4 Th 3.14, 4 Pm 3.14

Output
The calculation puts the calculated density at 10.14 g/cm3. The calculation puts the density of states at the Fermi level at 2.0 states/eV/f.u. For the raw total energy, the calculation gives -6.395 eV/atom. As for the formation energy: -48 meV/atom.

Entry 3:
Material: Pm2AgTe4
Method: DFT, PBE-GGA
State: relaxed

Cell: 7.8471 6.2961 8.9313 Å, 90.00 106.02 90.00°
Closest atoms and distances in Å follow each position.
Space group P2_1/m (No. 11)
Unique sites:
Pm 0.2190 0.2500 0.4256  8 Te 3.25-3.56, 1 Ag 3.30
Pm 0.2555 0.2500 0.9397  8 Te 3.14-3.44
Ag 0.2189 0.7500 0.6749  4 Te 2.69-2.82
Te 0.0612 0.7500 0.3659  1 Ag 2.69
Te 0.0734 0.7500 0.9161  1 Ag 2.70
Te 0.4755 0.5083 0.2495  1 Ag 2.82, 1 Te 3.04

Output
The calculation puts the calculated density at 7.11 g/cm3. The calculation puts the density of states at the Fermi level at 0.6 states/eV/f.u. For the raw total energy, the calculation gives -4.554 eV/atom. The calculation puts the raw formation energy at -995 meV/atom.

Entry 4:
Material: PmAg2Te2
Method: DFT, PBE-GGA
State: relaxed

Cell: 8.7597 8.9926 7.7811 Å, 90.00 114.20 90.00°
Closest atoms and distances in Å follow each position.
Space group C2/c (No. 15)
Unique sites:
Pm 0.0000 0.1855 0.2500  6 Te 3.15-3.25, 4 Ag 3.43-3.52
Ag 0.0000 0.5000 0.0000  2 Te 2.82, 2 Ag 3.14
Ag 0.2500 0.2500 0.0000  2 Te 2.76
Te 0.2102 0.0847 0.6853  2 Ag 2.76-2.82

Output
The calculation puts the calculated density at 7.32 g/cm3. The calculation puts the density of states at the Fermi level at 2.9 states/eV/f.u. For the raw total energy, the calculation gives -3.838 eV/atom. The calculation puts the raw formation energy at -491 meV/atom.

Entry 5:
Material: PmAg3Te3
Method: DFT, PBE-GGA
State: relaxed

Cell: 7.9415 7.9415 22.0619 Å, 90.00 90.00 120.00°
Closest atoms and distances in Å follow each position.
Space group R-3 (No. 148, hexagonal axes)
Unique sites:
Pm 0.0000 0.0000 0.1664  6 Te 3.18-3.19
Ag 0.0015 0.6411 0.6264  4 Te 2.80-2.93, 2 Ag 3.10
Te 0.0014 0.6832 0.4245  4 Ag 2.80-2.93

Output
The calculation puts the calculated density at 7.04 g/cm3. For the raw total energy, the calculation gives -3.817 eV/atom. The calculation puts the raw formation energy at -570 meV/atom.

Entry 6:
Material: PmAgTe2
Method: DFT, PBE-GGA
State: relaxed

Cell: 15.4705 4.5772 7.3226 Å, 90.00 90.00 90.00°
Closest atoms and distances in Å follow each position.
Space group Pnma (No. 62)
Unique sites:
Pm 0.1268 0.2500 0.0168  6 Te 3.09-3.24
Ag 0.0562 0.7500 0.3531  4 Te 2.77-2.92
Te 0.0478 0.7500 0.7517  3 Ag 2.90-2.92, 3 Pm 3.19-3.24
Te 0.2228 0.7500 0.2139  1 Ag 2.77, 2 Pm 3.09

Output
The calculation puts the calculated density at 6.51 g/cm3. For the raw total energy, the calculation gives -4.400 eV/atom. The calculation puts the raw formation energy at -928 meV/atom.

Entry 7:
Material: Pm5AgTe5
Method: DFT, PBE-GGA
State: relaxed

Cell: 13.9650 6.3109 8.8560 Å, 90.00 108.62 90.00°
Closest atoms and distances in Å follow each position.
Space group C2/m (No. 12)
Unique sites:
Pm 0.0000 0.0000 0.0000  4 Te 3.13-3.14, 2 Ag 3.16
Pm 0.1649 0.5000 0.3347  5 Te 3.10-3.16, 1 Ag 3.12
Pm 0.1659 0.5000 0.8328  5 Te 3.11-3.19, 1 Ag 3.12
Ag 0.0000 0.5000 0.0000  6 Pm 3.12-3.16
Te 0.0000 0.5000 0.5000  4 Pm 3.10-3.11
Te 0.1636 0.0000 0.8271  5 Pm 3.13-3.19
Te 0.1670 0.0000 0.3365  5 Pm 3.10-3.16

Output
The calculation puts the calculated density at 6.60 g/cm3. The calculation puts the density of states at the Fermi level at 9.1 states/eV/f.u. For the raw total energy, the calculation gives -5.035 eV/atom. The calculation puts the raw formation energy at -1189 meV/atom.

Entry 8:
Material: PmAg2Te
Method: DFT, PBE-GGA
State: relaxed

Cell: 7.2847 7.2847 7.2847 Å, 90.00 90.00 90.00°
Closest atoms and distances in Å follow each position.
Space group Fm-3m (No. 225)
Unique sites:
Pm 0.0000 0.0000 0.0000  8 Ag 3.15
Ag 0.2500 0.2500 0.2500  4 Te 3.15, 4 Pm 3.15
Te 0.0000 0.0000 0.5000  8 Ag 3.15

Output
The calculation puts the calculated density at 8.39 g/cm3. The calculation puts the density of states at the Fermi level at 1.7 states/eV/f.u. For the raw total energy, the calculation gives -3.646 eV/atom. The calculation puts the raw formation energy at -247 meV/atom.

Question: Which formula does entry 1 have?
Answer: Pm2TcAg